# 1
A relaxed LiZr2W crystal. Source: the Alexandria database, functional GGA-PBE.

Calculated values
- formation enthalpy at 0 K (meV/atom) = 347.8
- energy (eV per atom) = -7.643
- M_tot (μB per atom) = 0.000
- density of states at the Fermi level (states/eV per atom) = 0.941
- V (Å³/cell) = 79.8

abc: 11.044 11.044 11.044
angles: 15.12 15.12 15.12
Fractional coordinates of all 4 atoms:
Li1 0.000 0.000 0.000
Zr1 0.247 0.247 0.247
Zr2 0.753 0.753 0.753
W1 0.500 0.500 0.500

---

# 2
A relaxed TiTePdI2 crystal. Source: the Alexandria database, functional GGA-PBE.

Calculated values
- formation energy from raw total energies (eV per atom) = 0.20
- energy (eV per atom) = -3.667
- energy above the lowest structure with this stoichiometry (meV per atom) = 0
- M_tot (μB per atom) = 0.000
- density of states at the Fermi level (states/eV per atom) = 1.752
- V (Å³/cell) = 160.9

abc: 5.507 5.507 5.307
angles: 90.00 90.00 90.00
Fractional coordinates of all 5 atoms:
Ti1 0.000 0.000 0.000
Te1 0.000 0.000 0.500
Pd1 0.500 0.500 0.500
I1 0.000 0.500 0.000
I2 0.500 0.000 0.000

---

# 3
A relaxed PmPOsF crystal. Source: the Alexandria database, functional GGA-PBE.

Calculated values
- formation energy from raw total energies (eV per atom) = -1.89
- energy (eV per atom) = -7.701
- M_tot (μB per atom) = 0.000
- density of states at the Fermi level (states/eV per atom) = 0.589
- V (Å³/cell) = 132.7

abc: 4.023 4.023 8.199
angles: 90.00 90.00 90.00
Fractional coordinates of all 8 atoms:
Pm1 0.250 0.250 0.190
Pm2 0.750 0.750 0.810
P1 0.250 0.250 0.652
P2 0.750 0.750 0.348
Os1 0.250 0.750 0.500
Os2 0.750 0.250 0.500
F1 0.250 0.750 0.000
F2 0.750 0.250 0.000

---

# 4
A relaxed LaY2ZnCo crystal. Source: the Alexandria database, functional GGA-PBE.

Calculated values
- formation enthalpy at 0 K (meV/atom) = -21.5
- energy (eV per atom) = -5.269
- M_tot (μB per atom) = 0.000
- density of states at the Fermi level (states/eV per atom) = 1.149
- V (Å³/cell) = 141.7

abc: 5.241 5.241 5.159
angles: 90.00 90.00 90.00
Fractional coordinates of all 5 atoms:
La1 0.000 0.000 0.000
Y1 0.000 0.500 0.500
Y2 0.500 0.000 0.500
Zn1 0.500 0.500 0.000
Co1 0.000 0.000 0.500